# 1
# UTiNi2

A relaxed structure of UTiNi2 (PBE-GGA, Alexandria).

a b c (Å): 2.995 2.995 6.877
angles (deg): 90.00 90.00 90.00
Fractional coordinates of all 4 atoms:
1 U 0.000 0.000 0.000
2 Ti 0.000 0.000 0.500
3 Ni 0.500 0.500 0.298
4 Ni 0.500 0.500 0.702

Summary:
For the polymorph energy (0 for the lowest one), the calculation gives 0.0 meV/atom. The calculation puts the size of the total moment at 2.2 μB per cell. As for the calculated total energy: -7.854 eV/atom. The formation enthalpy at 0 K is -167 meV per atom.

---

# 2
# Ba2NiAu

A relaxed structure of Ba2NiAu (PBE-GGA, Alexandria).

a b c (Å): 8.528 8.528 8.528
angles (deg): 150.12 149.12 43.51
Fractional coordinates of all 4 atoms:
1 Ba 0.000 0.000 0.000
2 Ba 0.732 0.232 0.500
3 Ni 0.583 0.583 0.000
4 Au 0.157 0.657 0.500

Summary:
The calculation puts the size of the total moment at 0.0 μB per cell. As for the calculated total energy: -3.452 eV/atom. The formation enthalpy at 0 K is -225 meV per atom.

---

# 3
# ZnC2N2

A relaxed structure of ZnC2N2 (PBE-GGA, Alexandria).

a b c (Å): 5.945 5.945 5.945
angles (deg): 90.00 90.00 90.00
Fractional coordinates of all 10 atoms:
1 Zn 0.000 0.000 0.000
2 Zn 0.500 0.500 0.500
3 C 0.196 0.196 0.196
4 C 0.196 0.804 0.804
5 C 0.804 0.196 0.804
6 C 0.804 0.804 0.196
7 N 0.309 0.309 0.309
8 N 0.309 0.691 0.691
9 N 0.691 0.309 0.691
10 N 0.691 0.691 0.309

Summary:
The calculation puts the size of the total moment at 0.0 μB per cell. As for the calculated total energy: -7.074 eV/atom. The formation energy without anion corrections comes out at 0.20 eV per atom.

---

# 4
# Pu3As2Se

A relaxed structure of Pu3As2Se (PBE-GGA, Alexandria).

a b c (Å): 7.190 7.190 7.193
angles (deg): 99.61 99.61 119.99
Fractional coordinates of all 12 atoms:
1 Pu 0.000 0.500 0.000
2 Pu 0.162 0.330 0.499
3 Pu 0.330 0.162 0.999
4 Pu 0.500 0.000 0.500
5 Pu 0.670 0.838 0.001
6 Pu 0.838 0.670 0.501
7 As 0.084 0.916 0.250
8 As 0.252 0.748 0.750
9 As 0.748 0.252 0.250
10 As 0.916 0.084 0.750
11 Se 0.418 0.582 0.250
12 Se 0.582 0.418 0.750

Summary:
The calculation puts the size of the total moment at 31.8 μB per cell. As for the calculated total energy: -10.514 eV/atom. The formation energy without anion corrections comes out at -1.22 eV per atom.